1.
DFT (PBE) results for an optimized crystal structure of La2SnTeIr.

Structure (POSCAR):
```
La2SnTeIr
1.0
-0.821 3.260 -4.831
-5.051 -2.832 -1.052
-2.638 3.630 2.897
La Sn Ir Te
2 1 1 1
direct
0.500 0.000 0.000 La
0.000 0.500 0.000 La
0.000 0.000 0.500 Sn
0.500 0.500 0.500 Ir
0.000 0.000 0.000 Te
```

- Density of states at the Fermi level: 1.115 states/eV/atom
- Total magnetization: 0.270 μB/f.u.
- Crystal system: tetragonal
- DFT total energy: -4.561 eV per atom
- E_form (uncorrected): 0.61 eV per atom

=====

2.
DFT (PBE) results for an optimized crystal structure of Hg2PBr.

Structure (POSCAR):
```
Hg2PBr
1.0
7.500 0.000 4.093
0.000 7.439 0.000
0.579 0.000 9.141
Br Hg P
4 8 4
direct
0.763 0.750 0.869 Br
0.237 0.250 0.131 Br
0.763 0.750 0.369 Br
0.237 0.250 0.631 Br
0.501 0.502 0.249 Hg
0.855 0.250 0.324 Hg
0.499 0.002 0.251 Hg
0.501 0.998 0.749 Hg
0.145 0.750 0.676 Hg
0.855 0.250 0.824 Hg
0.499 0.498 0.751 Hg
0.145 0.750 0.176 Hg
0.281 0.751 0.358 P
0.281 0.749 0.858 P
0.719 0.251 0.142 P
0.719 0.249 0.642 P
```

- Total magnetization: 0.000 μB/f.u.
- E above lowest polymorph: 0 meV/atom
- Crystal system: monoclinic
- DFT total energy: -2.116 eV per atom
- E_form (uncorrected): -0.19 eV per atom

=====

3.
DFT (PBE) results for an optimized crystal structure of Tb2Sc3Tl2.

Structure (POSCAR):
```
Tb2Sc3Tl2
1.0
4.530 0.000 0.000
-2.265 5.694 0.029
0.000 -2.588 7.347
Tb Sc Tl
2 3 2
direct
0.871 0.741 0.228 Tb
0.129 0.259 0.772 Tb
0.375 0.750 0.561 Sc
0.500 0.000 0.000 Sc
0.625 0.250 0.439 Sc
0.165 0.330 0.209 Tl
0.835 0.670 0.791 Tl
```

- Density of states at the Fermi level: 1.243 states/eV/atom
- Total magnetization: 0.000 μB/f.u.
- ΔE_f: -0.1596 eV/atom
- Crystal system: monoclinic
- DFT total energy: -4.872 eV per atom

=====

4.
DFT (PBE) results for an optimized crystal structure of ZnCr2FeC.

Structure (POSCAR):
```
ZnCr2FeC
1.0
3.938 0.000 0.000
0.000 3.938 0.000
0.000 0.000 3.734
Cr Fe Zn C
2 1 1 1
direct
0.500 0.000 0.000 Cr
0.000 0.500 0.000 Cr
0.000 0.000 0.500 Fe
0.500 0.500 0.500 Zn
0.000 0.000 0.000 C
```

- Density of states at the Fermi level: 1.056 states/eV/atom
- Total magnetization: 5.015 μB/f.u.
- ΔE_f: 0.0995 eV/atom
- Crystal system: tetragonal
- DFT total energy: -7.542 eV per atom

=====

5.
DFT (PBE) results for an optimized crystal structure of ReOsAu2.

Structure (POSCAR):
```
ReOsAu2
1.0
9.732 0.002 0.001
9.325 2.784 0.001
9.325 1.364 2.427
Au Re Os
2 1 1
direct
0.003 0.003 0.003 Au
0.247 0.247 0.247 Au
0.756 0.756 0.756 Re
0.494 0.494 0.494 Os
```

- Density of states at the Fermi level: 1.161 states/eV/atom
- Total magnetization: 0.000 μB/f.u.
- E above lowest polymorph: 8 meV/atom
- ΔE_f: 0.2258 eV/atom
- Crystal system: trigonal
- DFT total energy: -7.332 eV per atom

=====

6.
DFT (PBE) results for an optimized crystal structure of NaBiPb4.

Structure (POSCAR):
```
NaBiPb4
1.0
-4.433 3.970 -0.544
-3.549 -2.933 4.845
2.395 4.066 8.826
Bi Pb Na
2 8 2
direct
0.250 0.802 0.895 Bi
0.750 0.198 0.105 Bi
0.236 0.387 0.219 Pb
0.764 0.613 0.781 Pb
0.280 0.709 0.580 Pb
0.220 0.211 0.580 Pb
0.264 0.894 0.219 Pb
0.720 0.291 0.420 Pb
0.736 0.106 0.781 Pb
0.780 0.789 0.420 Pb
0.250 0.299 0.902 Na
0.750 0.701 0.098 Na
```

- Density of states at the Fermi level: 0.502 states/eV/atom
- Total magnetization: 0.000 μB/f.u.
- E above lowest polymorph: 3 meV/atom
- ΔE_f: -0.0419 eV/atom
- Crystal system: monoclinic
- DFT total energy: -3.381 eV per atom

=====

7.
DFT (PBE) results for an optimized crystal structure of Zr4BeRu.

Structure (POSCAR):
```
Zr4BeRu
1.0
-1.721 -0.687 5.240
-5.117 -1.918 1.016
-0.693 -5.120 2.049
Zr Be Ru
4 1 1
direct
0.374 0.374 0.879 Zr
0.374 0.374 0.374 Zr
0.879 0.374 0.374 Zr
0.374 0.879 0.374 Zr
0.750 0.750 0.750 Be
0.000 0.000 0.000 Ru
```

- Density of states at the Fermi level: 1.018 states/eV/atom
- Total magnetization: 0.000 μB/f.u.
- ΔE_f: 0.6909 eV/atom
- Crystal system: cubic
- DFT total energy: -7.175 eV per atom

=====

8.
DFT (PBE) results for an optimized crystal structure of Sb2TeHSe.

Structure (POSCAR):
```
Sb2TeHSe
1.0
5.524 0.000 0.000
0.000 5.524 0.000
0.000 0.000 5.554
Sb H Te Se
2 1 1 1
direct
0.000 0.500 0.000 Sb
0.500 0.000 0.000 Sb
0.500 0.500 0.500 H
0.000 0.000 0.500 Te
0.000 0.000 0.000 Se
```

- Density of states at the Fermi level: 1.072 states/eV/atom
- Total magnetization: 0.315 μB/f.u.
- E above lowest polymorph: 596 meV/atom
- Crystal system: tetragonal
- DFT total energy: -2.587 eV per atom

=====

9.
DFT (PBE) results for an optimized crystal structure of MgOF3.

Structure (POSCAR):
```
MgOF3
1.0
3.865 0.000 0.000
0.000 3.865 0.000
0.000 0.000 3.865
Mg F O
1 3 1
direct
0.500 0.500 0.500 Mg
0.000 0.500 0.000 F
0.000 0.000 0.500 F
0.500 0.000 0.000 F
0.000 0.000 0.000 O
```

- Density of states at the Fermi level: 0.290 states/eV/atom
- Total magnetization: 0.000 μB/f.u.
- E above lowest polymorph: 1169 meV/atom
- Crystal system: cubic
- DFT total energy: -3.234 eV per atom
- E_form (uncorrected): -0.80 eV per atom

=====

10.
DFT (PBE) results for an optimized crystal structure of Ba2FeCuN.

Structure (POSCAR):
```
Ba2FeCuN
1.0
5.769 0.000 0.000
0.000 5.769 0.000
0.000 0.000 3.606
Ba N Fe Cu
2 1 1 1
direct
0.500 0.000 0.000 Ba
0.000 0.500 0.000 Ba
0.000 0.000 0.000 N
0.000 0.000 0.500 Fe
0.500 0.500 0.500 Cu
```

- Density of states at the Fermi level: 1.056 states/eV/atom
- Total magnetization: 0.982 μB/f.u.
- Crystal system: tetragonal
- DFT total energy: -5.080 eV per atom
- E_form (uncorrected): -0.13 eV per atom

=====

11.
DFT (PBE) results for an optimized crystal structure of PuTaC.

Structure (POSCAR):
```
PuTaC
1.0
4.683 -2.872 -0.179
-2.257 5.009 -0.179
0.406 0.357 5.329
Pu C Ta
2 2 2
direct
0.168 0.832 0.500 Pu
0.832 0.168 0.500 Pu
0.681 0.681 0.724 C
0.319 0.319 0.276 C
0.364 0.636 0.000 Ta
0.636 0.364 0.000 Ta
```

- Density of states at the Fermi level: 1.374 states/eV/atom
- Total magnetization: 0.000 μB/f.u.
- E above lowest polymorph: 182 meV/atom
- ΔE_f: 0.2966 eV/atom
- Crystal system: monoclinic
- DFT total energy: -11.506 eV per atom

=====

12.
DFT (PBE) results for an optimized crystal structure of Sr2Ga4IrPd3.

Structure (POSCAR):
```
Sr2Ga4IrPd3
1.0
4.368 0.000 0.000
0.000 4.368 0.000
0.000 0.000 10.552
Pd Ir Sr Ga
3 1 2 4
direct
0.500 0.000 0.868 Pd
0.000 0.000 0.500 Pd
0.000 0.500 0.132 Pd
0.500 0.500 0.500 Ir
0.500 0.000 0.257 Sr
0.000 0.500 0.743 Sr
0.000 0.000 0.000 Ga
0.000 0.500 0.378 Ga
0.500 0.500 0.000 Ga
0.500 0.000 0.622 Ga
```

- Density of states at the Fermi level: 0.468 states/eV/atom
- Total magnetization: 0.000 μB/f.u.
- ΔE_f: -0.6867 eV/atom
- Crystal system: tetragonal
- DFT total energy: -4.678 eV per atom

=====

13.
DFT (PBE) results for an optimized crystal structure of NaAcAsO4.

Structure (POSCAR):
```
NaAcAsO4
1.0
6.458 0.000 0.000
3.229 5.955 -0.328
3.229 1.502 5.772
As O Na Ac
2 8 2 2
direct
0.626 0.624 0.124 As
0.374 0.376 0.876 As
0.260 0.255 0.755 O
0.730 0.255 0.755 O
0.269 0.276 0.185 O
0.269 0.685 0.776 O
0.731 0.315 0.224 O
0.731 0.724 0.815 O
0.270 0.745 0.245 O
0.740 0.745 0.245 O
0.000 0.000 0.500 Na
0.500 0.000 0.500 Na
0.000 0.500 0.500 Ac
0.000 0.000 0.000 Ac
```

- Density of states at the Fermi level: 0.171 states/eV/atom
- Total magnetization: 0.000 μB/f.u.
- Crystal system: orthorhombic
- DFT total energy: -6.174 eV per atom
- E_form (uncorrected): -1.90 eV per atom

=====

14.
DFT (PBE) results for an optimized crystal structure of KHgOsO6.

Structure (POSCAR):
```
KHgOsO6
1.0
-5.008 -3.389 -1.014
0.315 -7.245 0.639
0.343 -1.672 4.690
O Hg Os K
6 1 1 1
direct
0.220 0.604 0.532 O
0.662 0.242 0.718 O
0.249 0.177 0.852 O
0.008 0.468 0.238 O
0.514 0.089 0.434 O
0.360 0.583 0.122 O
0.002 0.912 0.890 Hg
0.311 0.325 0.513 Os
0.672 0.601 0.700 K
```

- Total magnetization: 1.056 μB/f.u.
- Crystal system: triclinic
- DFT total energy: -5.494 eV per atom
- E_form (uncorrected): -0.79 eV per atom

=====

15.
DFT (PBE) results for an optimized crystal structure of BSbI2N.

Structure (POSCAR):
```
BSbI2N
1.0
6.161 0.000 0.000
0.000 6.161 0.000
0.000 0.000 3.967
N I Sb B
1 2 1 1
direct
0.000 0.000 0.500 N
0.000 0.500 0.000 I
0.500 0.000 0.000 I
0.000 0.000 0.000 Sb
0.500 0.500 0.500 B
```

- Density of states at the Fermi level: 0.260 states/eV/atom
- Total magnetization: 0.000 μB/f.u.
- E above lowest polymorph: 1316 meV/atom
- Crystal system: tetragonal
- DFT total energy: -2.986 eV per atom
- E_form (uncorrected): 1.46 eV per atom

=====

16.
DFT (PBE) results for an optimized crystal structure of BaNaCa2Ir.

Structure (POSCAR):
```
BaNaCa2Ir
1.0
-3.283 0.990 -4.351
0.030 -5.396 -1.250
-4.800 -0.822 3.435
Ba Ca Ir Na
1 2 1 1
direct
0.500 0.500 0.500 Ba
0.000 0.500 0.000 Ca
0.500 0.000 0.000 Ca
0.000 0.000 0.000 Ir
0.000 0.000 0.500 Na
```

- Density of states at the Fermi level: 0.736 states/eV/atom
- Total magnetization: 0.000 μB/f.u.
- E above lowest polymorph: 175 meV/atom
- ΔE_f: 0.0271 eV/atom
- Crystal system: tetragonal
- DFT total energy: -3.194 eV per atom

=====

17.
DFT (PBE) results for an optimized crystal structure of Nd2HoSn9.

Structure (POSCAR):
```
Nd2HoSn9
1.0
-4.153 -1.725 1.739
1.886 -0.065 4.437
-4.498 12.946 2.102
Sn Nd Ho
9 2 1
direct
0.000 0.500 0.500 Sn
0.000 0.500 0.838 Sn
0.500 0.000 0.162 Sn
0.500 0.500 0.669 Sn
0.500 0.500 0.331 Sn
0.500 0.000 0.500 Sn
0.500 0.000 0.838 Sn
0.500 0.500 0.000 Sn
0.000 0.500 0.162 Sn
0.000 0.000 0.331 Nd
0.000 0.000 0.669 Nd
0.000 0.000 0.000 Ho
```

- Density of states at the Fermi level: 0.522 states/eV/atom
- Total magnetization: 0.000 μB/f.u.
- ΔE_f: -0.4663 eV/atom
- Crystal system: tetragonal
- DFT total energy: -4.645 eV per atom

=====

18.
DFT (PBE) results for an optimized crystal structure of AlCu3Au.

Structure (POSCAR):
```
AlCu3Au
1.0
4.927 1.133 -0.613
1.412 4.391 -2.144
-0.656 -0.338 4.909
Au Cu Al
1 3 1
direct
0.500 0.000 0.000 Au
0.000 0.500 0.500 Cu
0.000 0.500 0.000 Cu
0.000 0.000 0.500 Cu
0.000 0.000 0.000 Al
```

- Density of states at the Fermi level: 0.358 states/eV/atom
- Total magnetization: 0.000 μB/f.u.
- E above lowest polymorph: 339 meV/atom
- ΔE_f: 0.2279 eV/atom
- Crystal system: monoclinic
- DFT total energy: -3.634 eV per atom

=====

19.
DFT (PBE) results for an optimized crystal structure of Na2PmCuBr6.

Structure (POSCAR):
```
Na2PmCuBr6
1.0
-4.476 0.805 -5.365
-5.766 -0.343 4.760
0.797 10.950 1.754
Pm Br Cu Na
2 12 2 4
direct
0.000 0.500 0.500 Pm
0.500 0.000 0.000 Pm
0.148 0.451 0.744 Br
0.676 0.295 0.569 Br
0.824 0.795 0.931 Br
0.352 0.951 0.756 Br
0.648 0.049 0.244 Br
0.701 0.319 0.926 Br
0.852 0.549 0.256 Br
0.299 0.681 0.074 Br
0.176 0.205 0.069 Br
0.201 0.181 0.426 Br
0.324 0.705 0.431 Br
0.799 0.819 0.574 Br
0.000 0.500 0.000 Cu
0.500 0.000 0.500 Cu
0.544 0.591 0.737 Na
0.044 0.909 0.237 Na
0.956 0.091 0.763 Na
0.456 0.409 0.263 Na
```

- Density of states at the Fermi level: 0.000 states/eV/atom
- Total magnetization: 0.033 μB/f.u.
- Crystal system: monoclinic
- DFT total energy: -3.515 eV per atom
- E_form (uncorrected): -1.36 eV per atom

=====

20.
DFT (PBE) results for an optimized crystal structure of YPu2O11.

Structure (POSCAR):
```
YPu2O11
1.0
-7.165 1.732 -5.546
-8.016 -0.909 2.399
-4.295 7.237 0.136
O Pu Y
22 4 2
direct
0.049 0.502 0.747 O
0.380 0.556 0.444 O
0.298 0.253 0.498 O
0.752 0.452 0.795 O
0.244 0.554 0.196 O
0.803 0.997 0.755 O
0.748 0.705 0.048 O
0.202 0.002 0.247 O
0.555 0.245 0.003 O
0.500 0.952 0.295 O
0.000 0.205 0.548 O
0.256 0.304 0.946 O
0.974 0.032 0.968 O
0.994 0.804 0.446 O
0.697 0.745 0.503 O
0.506 0.054 0.696 O
0.948 0.887 0.113 O
0.451 0.753 0.998 O
0.945 0.497 0.255 O
0.552 0.387 0.613 O
0.526 0.532 0.468 O
0.120 0.056 0.944 O
0.278 0.279 0.721 Pu
0.773 0.229 0.771 Pu
0.222 0.779 0.221 Pu
0.727 0.729 0.271 Pu
0.750 0.753 0.747 Y
0.250 0.253 0.247 Y
```

- Density of states at the Fermi level: 0.465 states/eV/atom
- Total magnetization: 2.913 μB/f.u.
- Crystal system: orthorhombic
- DFT total energy: -8.350 eV per atom
- E_form (uncorrected): -1.94 eV per atom